SrBe2Cl: relaxed, PBE.

Lattice parameters (Å, degrees): 4.646 4.646 5.218 90.00 90.00 90.00
Fractional positions:
Sr 0.500 0.500 0.750
Be 0.000 0.000 0.031
Be 0.000 0.000 0.469
Cl 0.500 0.500 0.250

**Offset from the most stable computed form**: 522 meV/atom
**Total magnetization**: 0.00 μB per cell
**E_form (uncorrected)**: 359 meV per atom

=====

Ta2CdNi: relaxed, PBE.

Lattice parameters (Å, degrees): 2.862 4.906 5.845 56.33 90.00 90.00
Fractional positions:
Cd 0.500 0.500 0.500
Ni 0.000 0.000 0.500
Ta 0.000 0.000 0.000
Ta 0.500 0.500 0.000

**ΔH_f (0 K)**: 276 meV/atom
**Total magnetization**: 0.00 μB per cell

=====

BiHOsO2: relaxed, PBE.

Lattice parameters (Å, degrees): 4.154 3.453 4.154 90.00 90.00 90.00
Fractional positions:
H 0.000 0.000 0.000
Os 0.500 0.500 0.500
Bi 0.000 0.500 0.000
O 0.000 0.000 0.500
O 0.500 0.000 0.000

**Final energy**: -4.560 eV per atom
**Total magnetization**: 0.00 μB per cell

=====

Mg2ZrIn5: relaxed, PBE.

Lattice parameters (Å, degrees): 6.311 6.311 6.311 104.76 104.76 119.38
Fractional positions:
Mg 0.278 0.778 0.500
Mg 0.778 0.278 0.500
Zr 0.778 0.778 0.000
In 0.278 0.278 0.500
In 0.278 0.778 0.000
In 0.778 0.278 0.000
In 0.778 0.778 0.500
In 0.278 0.277 0.000

**ΔH_f (0 K)**: -77 meV/atom
**Total magnetization**: 0.00 μB per cell